A plane-wave DFT calculation with PBE was carried out for a relaxed VCo2Pt3 crystal.

Cell and atoms, written as POSCAR:
```
VCo2Pt3
1.0
-2.593 -2.782 0.435
-0.347 -1.388 5.898
-5.380 5.155 0.897
V Pt Co
2 6 4
Direct
0.656 0.687 0.000 V
0.344 0.313 0.000 V
0.833 0.333 0.755 Pt
0.167 0.667 0.755 Pt
0.833 0.333 0.245 Pt
0.500 0.000 0.745 Pt
0.167 0.667 0.245 Pt
0.500 0.000 0.255 Pt
0.000 0.000 0.000 Co
0.327 0.346 0.500 Co
0.673 0.654 0.500 Co
0.000 0.000 0.500 Co
```

Computed properties:
D(E_F): 1.2052 states/eV per atom
ΔE_f: -0.275 eV/atom


A plane-wave DFT calculation with PBE was carried out for a relaxed Tl2OsIBr crystal.

Cell and atoms, written as POSCAR:
```
Tl2OsIBr
1.0
-4.567 4.860 -0.169
-2.944 -2.667 2.879
2.760 2.782 5.399
Br I Os Tl
1 1 1 2
Direct
0.500 0.500 0.500 Br
0.000 0.000 0.000 I
0.000 0.500 0.000 Os
0.000 0.000 0.500 Tl
0.500 0.000 0.000 Tl
```

Computed properties:
ΔE_f (raw): 0.870 eV per atom
D(E_F): 0.5894 states/eV per atom


A plane-wave DFT calculation with PBE was carried out for a relaxed Cs3KHg2Cl9 crystal.

Cell and atoms, written as POSCAR:
```
Cs3KHg2Cl9
1.0
7.649 0.000 0.000
-3.825 6.625 0.000
0.000 0.000 10.140
Cs Cl K Hg
3 9 1 2
Direct
0.000 0.000 0.000 Cs
0.667 0.333 0.296 Cs
0.333 0.667 0.704 Cs
0.500 0.000 0.000 Cl
0.168 0.337 0.297 Cl
0.832 0.663 0.703 Cl
0.168 0.832 0.297 Cl
0.663 0.832 0.297 Cl
0.832 0.168 0.703 Cl
0.000 0.500 0.000 Cl
0.337 0.168 0.703 Cl
0.500 0.500 0.000 Cl
0.000 0.000 0.500 K
0.667 0.333 0.840 Hg
0.333 0.667 0.160 Hg
```

Computed properties:
ΔE_f (raw): -1.272 eV per atom
D(E_F): 0.4921 states/eV per atom


A plane-wave DFT calculation with PBE was carried out for a relaxed Y2AlSb crystal.

Cell and atoms, written as POSCAR:
```
Y2AlSb
1.0
3.884 -0.245 0.267
0.224 3.885 0.267
3.619 3.208 7.208
Sb Al Y
1 1 2
Direct
0.750 0.750 0.750 Sb
0.250 0.250 0.250 Al
0.499 0.499 0.501 Y
0.001 0.001 0.999 Y
```

Computed properties:
ΔE_f (raw): -0.600 eV per atom
D(E_F): 0.7434 states/eV per atom
energy above the lowest structure with this stoichiometry: 150.4 meV/atom


A plane-wave DFT calculation with PBE was carried out for a relaxed La3FeNi crystal.

Cell and atoms, written as POSCAR:
```
La3FeNi
1.0
5.185 0.000 0.000
0.000 5.185 0.000
0.000 0.000 5.185
La Ni Fe
3 1 1
Direct
0.500 0.000 0.000 La
0.000 0.500 0.000 La
0.000 0.000 0.500 La
0.500 0.500 0.500 Ni
0.000 0.000 0.000 Fe
```

Computed properties:
D(E_F): 0.9821 states/eV per atom
ΔE_f: 0.216 eV/atom


A plane-wave DFT calculation with PBE was carried out for a relaxed Ho2ZnPt4 crystal.

Cell and atoms, written as POSCAR:
```
Ho2ZnPt4
1.0
-0.907 -1.669 -5.877
-4.159 -4.189 1.817
-0.263 5.567 1.713
Pt Ho Zn
4 2 1
Direct
0.717 0.283 0.000 Pt
0.718 0.718 0.000 Pt
0.283 0.717 0.000 Pt
0.282 0.282 0.000 Pt
0.750 0.250 0.500 Ho
0.250 0.750 0.500 Ho
0.000 0.000 0.000 Zn
```

Computed properties:
D(E_F): 0.3940 states/eV per atom
ΔE_f: -0.865 eV/atom
energy above the lowest structure with this stoichiometry: 25.3 meV/atom


A plane-wave DFT calculation with PBE was carried out for a relaxed Na2SrSeO crystal.

Cell and atoms, written as POSCAR:
```
Na2SrSeO
1.0
3.860 0.000 0.000
-1.930 6.881 0.000
0.000 0.000 8.011
Na Sr Se O
4 2 2 2
Direct
0.841 0.681 0.438 Na
0.159 0.319 0.938 Na
0.841 0.681 0.062 Na
0.159 0.319 0.562 Na
0.459 0.919 0.750 Sr
0.541 0.081 0.250 Sr
0.760 0.521 0.750 Se
0.240 0.479 0.250 Se
0.000 0.000 0.000 O
0.000 0.000 0.500 O
```

Computed properties:
ΔE_f (raw): -1.495 eV per atom
energy above the lowest structure with this stoichiometry: 148.0 meV/atom


A plane-wave DFT calculation with PBE was carried out for a relaxed KSiSb2 crystal.

Cell and atoms, written as POSCAR:
```
KSiSb2
1.0
-1.315 -2.713 -1.586
3.019 -1.568 0.178
-2.452 -3.758 8.462
K Sb Si
1 2 1
Direct
0.500 0.500 0.725 K
0.000 0.000 0.016 Sb
0.500 0.500 0.301 Sb
0.000 0.000 0.458 Si
```

Computed properties:
ΔE_f (raw): 0.231 eV per atom
D(E_F): 0.4456 states/eV per atom


A plane-wave DFT calculation with PBE was carried out for a relaxed DyPu2Ga crystal.

Cell and atoms, written as POSCAR:
```
DyPu2Ga
1.0
-3.511 -2.964 -2.494
1.568 -3.393 -3.654
-0.220 -5.139 0.939
Ga Pu Dy
1 2 1
Direct
0.000 0.000 0.000 Ga
0.250 0.250 0.250 Pu
0.750 0.750 0.750 Pu
0.500 0.500 0.500 Dy
```

Computed properties:
D(E_F): 3.1514 states/eV per atom
ΔE_f: 0.084 eV/atom
energy above the lowest structure with this stoichiometry: 252.7 meV/atom


A plane-wave DFT calculation with PBE was carried out for a relaxed UTlCuO4 crystal.

Cell and atoms, written as POSCAR:
```
UTlCuO4
1.0
-0.760 -4.391 3.949
4.527 -1.704 -5.513
2.374 4.150 5.072
Tl O Cu U
2 8 2 2
Direct
0.815 0.631 0.065 Tl
0.185 0.369 0.935 Tl
0.732 0.037 0.768 O
0.674 0.348 0.233 O
0.268 0.963 0.232 O
0.305 0.037 0.768 O
0.674 0.348 0.614 O
0.326 0.652 0.386 O
0.326 0.652 0.767 O
0.695 0.963 0.232 O
0.500 0.500 0.500 Cu
0.000 0.500 0.500 Cu
0.500 0.000 0.500 U
0.500 0.000 0.000 U
```

Computed properties:
ΔE_f (raw): -1.870 eV per atom
D(E_F): 0.3817 states/eV per atom


A plane-wave DFT calculation with PBE was carried out for a relaxed HfSiP3 crystal.

Cell and atoms, written as POSCAR:
```
HfSiP3
1.0
4.477 0.000 0.000
0.000 4.477 0.000
0.000 0.000 4.477
P Si Hf
3 1 1
Direct
0.500 0.000 0.000 P
0.000 0.000 0.500 P
0.000 0.500 0.000 P
0.000 0.000 0.000 Si
0.500 0.500 0.500 Hf
```

Computed properties:
ΔE_f (raw): 0.423 eV per atom
D(E_F): 0.7404 states/eV per atom
energy above the lowest structure with this stoichiometry: 0.0 meV/atom